[1]
This record from the Alexandria database describes a relaxed CeZrPd2 crystal. The functional is PBE.

Properties
The formation energy from the elements comes out at -0.597 eV per atom. The spin magnetization comes out at 1.13 μB per cell. As for the space group: No. 123. The value obtained for the uncorrected energy is -27.26 eV per cell.

Cell and atoms, written as CIF:
```
data_CeZrPd2
_space_group_name_H-M_alt 'P 1'
_space_group_IT_number 1
_space_group_name_Hall 'P 1'
_cell_length_a 3.364
_cell_length_b 3.364
_cell_length_c 7.354
_cell_angle_alpha 90.00
_cell_angle_beta 90.00
_cell_angle_gamma 90.00
loop_
_atom_site_label
_atom_site_fract_x
_atom_site_fract_y
_atom_site_fract_z
_atom_site_occupancy
Ce1 0.500 0.500 0.500 1
Pd1 0.000 0.000 0.212 1
Pd2 0.000 0.000 0.788 1
Zr1 0.500 0.500 0.000 1
```



[2]
This record from the Alexandria database describes a relaxed Pr3Al2Cd4 crystal. The functional is PBE.

Properties
The formation energy from the elements comes out at -0.363 eV per atom. The spin magnetization comes out at 0.00 μB per cell. As for the space group: No. 12. The value obtained for the uncorrected energy is -28.75 eV per cell.

Cell and atoms, written as CIF:
```
data_Pr3Al2Cd4
_space_group_name_H-M_alt 'P 1'
_space_group_IT_number 1
_space_group_name_Hall 'P 1'
_cell_length_a 4.911
_cell_length_b 6.157
_cell_length_c 9.270
_cell_angle_alpha 113.49
_cell_angle_beta 90.00
_cell_angle_gamma 113.51
loop_
_atom_site_label
_atom_site_fract_x
_atom_site_fract_y
_atom_site_fract_z
_atom_site_occupancy
Cd1 0.704 0.409 0.043 1
Cd2 0.925 0.850 0.596 1
Cd3 0.075 0.150 0.404 1
Cd4 0.296 0.591 0.957 1
Pr1 0.335 0.670 0.331 1
Pr2 0.665 0.330 0.669 1
Pr3 0.000 0.000 0.000 1
Al1 0.390 0.779 0.723 1
Al2 0.610 0.221 0.277 1
```



[3]
This record from the Alexandria database describes a relaxed RbNa12Tl6 crystal. The functional is PBE.

Properties
The formation energy from the elements comes out at -0.018 eV per atom. The spin magnetization comes out at 0.00 μB per cell. As for the space group: No. 166. The value obtained for the uncorrected energy is -31.34 eV per cell.

Cell and atoms, written as CIF:
```
data_RbNa12Tl6
_space_group_name_H-M_alt 'P 1'
_space_group_IT_number 1
_space_group_name_Hall 'P 1'
_cell_length_a 9.113
_cell_length_b 9.113
_cell_length_c 9.113
_cell_angle_alpha 104.75
_cell_angle_beta 104.75
_cell_angle_gamma 104.75
loop_
_atom_site_label
_atom_site_fract_x
_atom_site_fract_y
_atom_site_fract_z
_atom_site_occupancy
Tl1 0.710 0.305 0.710 1
Tl2 0.695 0.290 0.290 1
Tl3 0.305 0.710 0.710 1
Tl4 0.290 0.695 0.290 1
Tl5 0.290 0.290 0.695 1
Tl6 0.710 0.710 0.305 1
Na1 0.397 0.397 0.123 1
Na2 0.115 0.500 0.885 1
Na3 0.123 0.397 0.397 1
Na4 0.500 0.885 0.115 1
Na5 0.603 0.603 0.877 1
Na6 0.500 0.115 0.885 1
Na7 0.603 0.877 0.603 1
Na8 0.115 0.885 0.500 1
Na9 0.397 0.123 0.397 1
Na10 0.885 0.500 0.115 1
Na11 0.877 0.603 0.603 1
Na12 0.885 0.115 0.500 1
Rb1 0.000 0.000 0.000 1
```



[4]
This record from the Alexandria database describes a relaxed ScAlTl2 crystal. The functional is PBE.

Properties
The formation energy from the elements comes out at 0.074 eV per atom. The spin magnetization comes out at 0.00 μB per cell. As for the space group: No. 166. The value obtained for the uncorrected energy is -14.51 eV per cell.

Cell and atoms, written as CIF:
```
data_ScAlTl2
_space_group_name_H-M_alt 'P 1'
_space_group_IT_number 1
_space_group_name_Hall 'P 1'
_cell_length_a 10.079
_cell_length_b 10.079
_cell_length_c 10.079
_cell_angle_alpha 19.14
_cell_angle_beta 19.14
_cell_angle_gamma 19.14
loop_
_atom_site_label
_atom_site_fract_x
_atom_site_fract_y
_atom_site_fract_z
_atom_site_occupancy
Tl1 0.999 0.999 0.999 1
Tl2 0.501 0.501 0.501 1
Al1 0.250 0.250 0.250 1
Sc1 0.750 0.750 0.750 1
```